1.
This record from Alexandria via LeMat-Bulk describes HgB3Mo after structural relaxation. The functional is PBE-GGA.

Values from the calculation:
Its density of states at the Fermi level is 0.5007 states/eV per atom. For the energy of formation from the pure elements, the calculation gives 2.662 eV per atom. The magnetic moment is 0.584 μB/atom. Its space group is Pm-3m, No. 221.

abc: 4.249 4.249 4.249
angles: 90.00 90.00 90.00
Element x y z (fractional)
Hg1 0.000 0.000 0.000
B1 0.000 0.000 0.500
B2 0.000 0.500 0.000
B3 0.500 0.000 0.000
Mo1 0.500 0.500 0.500



2.
This record from Alexandria via LeMat-Bulk describes PuMn2Ni after structural relaxation. The functional is PBE-GGA.

Values from the calculation:
Its density of states at the Fermi level is 2.1657 states/eV per atom. For the energy of formation from the pure elements, the calculation gives 0.309 eV per atom. The magnetic moment is 3.179 μB/atom. Its space group is P4/mmm, No. 123.

abc: 2.908 2.908 7.554
angles: 90.00 90.00 90.00
Element x y z (fractional)
Pu1 0.000 0.000 0.000
Mn1 0.500 0.500 0.308
Mn2 0.500 0.500 0.692
Ni1 0.000 0.000 0.500



3.
This record from Alexandria via LeMat-Bulk describes Cs2BaBe2 after structural relaxation. The functional is PBE-GGA.

Values from the calculation:
Its density of states at the Fermi level is 0.3945 states/eV per atom. For the energy of formation from the pure elements, the calculation gives 0.763 eV per atom. The magnetic moment is 0.007 μB/atom. Its space group is P4/mbm, No. 127.

abc: 8.305 8.305 6.372
angles: 90.00 90.00 90.00
Element x y z (fractional)
Cs1 0.171 0.329 0.000
Cs2 0.329 0.829 0.000
Cs3 0.671 0.171 0.000
Cs4 0.829 0.671 0.000
Ba1 0.000 0.000 0.500
Ba2 0.500 0.500 0.500
Be1 0.090 0.590 0.500
Be2 0.410 0.090 0.500
Be3 0.590 0.910 0.500
Be4 0.910 0.410 0.500



4.
This record from Alexandria via LeMat-Bulk describes TiFe2HPd after structural relaxation. The functional is PBE-GGA.

Values from the calculation:
Its density of states at the Fermi level is 0.7951 states/eV per atom. The magnetic moment is 0.578 μB/atom. Its space group is P4/mmm, No. 123. Its total energy is -6.90 eV per atom.

abc: 3.722 3.722 3.961
angles: 90.00 90.00 90.00
Element x y z (fractional)
Ti1 0.000 0.000 0.000
Fe1 0.000 0.500 0.500
Fe2 0.500 0.000 0.500
H1 0.000 0.000 0.500
Pd1 0.500 0.500 0.000



5.
This record from Alexandria via LeMat-Bulk describes ScSi2Ru after structural relaxation. The functional is PBE-GGA.

Values from the calculation:
Its density of states at the Fermi level is 0.3940 states/eV per atom. The magnetic moment is 0.000 μB/atom. For the formation energy (no corrections), the calculation gives -531 meV/atom. Its space group is P4mm, No. 99.

abc: 3.127 3.127 6.196
angles: 90.00 90.00 90.00
Element x y z (fractional)
Sc1 0.000 0.000 0.000
Si1 0.000 0.000 0.503
Si2 0.500 0.500 0.278
Ru1 0.500 0.500 0.683



6.
This record from Alexandria via LeMat-Bulk describes InSb3O after structural relaxation. The functional is PBE-GGA.

Values from the calculation:
Its density of states at the Fermi level is 0.7787 states/eV per atom. The magnetic moment is 0.000 μB/atom. For the formation energy (no corrections), the calculation gives -5 meV/atom. Its space group is Pm-3m, No. 221.

abc: 4.875 4.875 4.875
angles: 90.00 90.00 90.00
Element x y z (fractional)
In1 0.000 0.000 0.000
Sb1 0.000 0.500 0.500
Sb2 0.500 0.000 0.500
Sb3 0.500 0.500 0.000
O1 0.500 0.500 0.500



7.
This record from Alexandria via LeMat-Bulk describes PmHoCuPt after structural relaxation. The functional is PBE-GGA.

Values from the calculation:
Its density of states at the Fermi level is 0.5224 states/eV per atom. For the energy of formation from the pure elements, the calculation gives -0.715 eV per atom. The magnetic moment is 0.000 μB/atom. Its space group is F-43m, No. 216.

abc: 7.047 7.047 7.047
angles: 90.00 90.00 90.00
Element x y z (fractional)
Pm1 0.000 0.000 0.000
Pm2 0.000 0.500 0.500
Pm3 0.500 0.000 0.500
Pm4 0.500 0.500 0.000
Ho1 0.000 0.000 0.500
Ho2 0.000 0.500 0.000
Ho3 0.500 0.000 0.000
Ho4 0.500 0.500 0.500
Cu1 0.250 0.250 0.750
Cu2 0.250 0.750 0.250
Cu3 0.750 0.250 0.250
Cu4 0.750 0.750 0.750
Pt1 0.250 0.250 0.250
Pt2 0.250 0.750 0.750
Pt3 0.750 0.250 0.750
Pt4 0.750 0.750 0.250



8.
This record from Alexandria via LeMat-Bulk describes HfInAg after structural relaxation. The functional is PBE-GGA.

Values from the calculation:
Its density of states at the Fermi level is 0.9485 states/eV per atom. For the energy of formation from the pure elements, the calculation gives 0.152 eV per atom. The magnetic moment is 0.000 μB/atom. Its space group is P-3m1, No. 164.

abc: 4.830 4.830 6.291
angles: 90.00 90.00 120.00
Element x y z (fractional)
Hf1 0.333 0.667 0.415
Hf2 0.667 0.333 0.585
In1 0.000 0.000 0.251
In2 0.000 0.000 0.749
Ag1 0.333 0.667 0.891
Ag2 0.667 0.333 0.109